Entry 1:
Entry from Alexandria: a relaxed structure of HfNbIrRu (PBE).

Lattice parameters (Å, degrees): 4.3377 4.3377 7.1316 90.00 90.00 90.00
Space group I-4m2 (No. 119)
Inequivalent atoms, fractional coordinates:
Hf: 0.0000 0.0000 0.0000 x2
Nb: 0.0000 0.0000 0.5000 x2
Ir: 0.0000 0.5000 0.7500 x2
Ru: 0.0000 0.5000 0.2500 x2

Computed properties:
Spin magnetization (μB/cell): 0.00
Calculated total energy (eV/atom): -10.07
Mass density (g/cm³): 13.98
Crystal system: tetragonal
V (Å³ per atom): 16.773
DFT formation energy (eV per atom): -0.53

Entry 2:
Entry from Alexandria: a relaxed structure of HfNb2Ir5Ru (PBE).

Lattice parameters (Å, degrees): 7.5505 7.5505 10.9128 90.00 90.00 90.00
Space group I4/mcm (No. 140)
Inequivalent atoms, fractional coordinates:
Hf: 0.0000 0.0000 0.2500 x4
Nb: 0.1155 0.3845 0.0000 x8
Ir: 0.0000 0.0000 0.0000 x4
Ir: 0.1930 0.3070 0.3715 x16
Ru: 0.0000 0.5000 0.2500 x4

Computed properties:
Spin magnetization (μB/cell): 0.00
Calculated total energy (eV/atom): -9.21
Mass density (g/cm³): 15.23
Crystal system: tetragonal
V (Å³ per atom): 17.282
DFT formation energy (eV per atom): 0.09

Entry 3:
Entry from Alexandria: a relaxed structure of HfNbIrRu (PBE).

Lattice parameters (Å, degrees): 6.4578 6.4578 6.4578 90.00 90.00 90.00
Space group F-43m (No. 216)
Inequivalent atoms, fractional coordinates:
Hf: 0.0000 0.0000 0.0000 x4
Nb: 0.0000 0.0000 0.5000 x4
Ir: 0.2500 0.2500 0.7500 x4
Ru: 0.2500 0.2500 0.2500 x4

Computed properties:
Spin magnetization (μB/cell): 0.00
Calculated total energy (eV/atom): -10.04
Mass density (g/cm³): 13.93
Crystal system: cubic
V (Å³ per atom): 16.832
DFT formation energy (eV per atom): -0.50

Entry 4:
Entry from Alexandria: a relaxed structure of Hf2NbSbIr (PBE).

Lattice parameters (Å, degrees): 5.0046 5.0046 4.9023 90.00 90.00 90.00
Space group P4/mmm (No. 123)
Inequivalent atoms, fractional coordinates:
Hf: 0.0000 0.5000 0.0000 x2
Nb: 0.0000 0.0000 0.5000 x1
Sb: 0.5000 0.5000 0.5000 x1
Ir: 0.5000 0.5000 0.0000 x1

Computed properties:
Spin magnetization (μB/cell): 0.92
Calculated total energy (eV/atom): -7.95
Mass density (g/cm³): 10.33
Crystal system: tetragonal
V (Å³ per atom): 24.557
Formation energy without anion corrections (eV per atom): 0.637

Entry 5:
Entry from Alexandria: a relaxed structure of Hf2NbSiIr (PBE).

Lattice parameters (Å, degrees): 4.7675 4.7675 4.5861 90.00 90.00 90.00
Space group P4/mmm (No. 123)
Inequivalent atoms, fractional coordinates:
Hf: 0.0000 0.5000 0.0000 x2
Nb: 0.0000 0.0000 0.5000 x1
Si: 0.0000 0.0000 0.0000 x1
Ir: 0.5000 0.5000 0.5000 x1

Computed properties:
Spin magnetization (μB/cell): 0.00
Calculated total energy (eV/atom): -8.36
Mass density (g/cm³): 10.68
Crystal system: tetragonal
V (Å³ per atom): 20.848
Formation energy without anion corrections (eV per atom): 0.495

Entry 6:
Entry from Alexandria: a relaxed structure of Hf2NbTeIr (PBE).

Lattice parameters (Å, degrees): 5.0136 5.0136 5.0162 90.00 90.00 90.00
Space group P4/mmm (No. 123)
Inequivalent atoms, fractional coordinates:
Hf: 0.0000 0.5000 0.0000 x2
Nb: 0.0000 0.0000 0.0000 x1
Te: 0.0000 0.0000 0.5000 x1
Ir: 0.5000 0.5000 0.5000 x1

Computed properties:
Spin magnetization (μB/cell): 0.00
Calculated total energy (eV/atom): -7.18
Mass density (g/cm³): 10.14
Crystal system: tetragonal
V (Å³ per atom): 25.217
Formation energy without anion corrections (eV per atom): 1.213

Entry 7:
Entry from Alexandria: a relaxed structure of HfNbVIr (PBE).

Lattice parameters (Å, degrees): 6.4296 6.4296 6.4296 90.00 90.00 90.00
Space group F-43m (No. 216)
Inequivalent atoms, fractional coordinates:
Hf: 0.0000 0.0000 0.0000 x4
Nb: 0.0000 0.0000 0.5000 x4
V: 0.2500 0.2500 0.7500 x4
Ir: 0.2500 0.2500 0.2500 x4

Computed properties:
Spin magnetization (μB/cell): 0.02
Calculated total energy (eV/atom): -9.89
Mass density (g/cm³): 12.86
Crystal system: cubic
V (Å³ per atom): 16.612
DFT formation energy (eV per atom): -0.39

Entry 8:
Entry from Alexandria: a relaxed structure of HfNbVIr2 (PBE).

Lattice parameters (Å, degrees): 4.7453 4.7453 4.5788 90.00 90.00 90.00
Space group P4/mmm (No. 123)
Inequivalent atoms, fractional coordinates:
Hf: 0.0000 0.0000 0.0000 x1
Nb: 0.5000 0.5000 0.5000 x1
V: 0.0000 0.0000 0.5000 x1
Ir: 0.0000 0.5000 0.0000 x2

Computed properties:
Spin magnetization (μB/cell): 0.26
Calculated total energy (eV/atom): -7.98
Mass density (g/cm³): 11.38
Crystal system: tetragonal
V (Å³ per atom): 20.621
DFT formation energy (eV per atom): 1.39